Below is a relaxed Tb2ErSi crystal, with properties calculated at the PBE level.

## Properties
ΔE_f (raw): 0.039 eV per atom
symmetry: R-3m, No. 166

```
Tb2ErSi
1.0
3.578 0.000 0.000
1.789 3.098 0.000
1.789 1.033 10.757
Si Tb Er
1 2 1
Cartesian
3.578 2.065 5.379
1.789 1.033 7.333
5.366 3.098 3.424
0.000 0.000 0.000
```


Below is a relaxed TbEr2Si crystal, with properties calculated at the PBE level.

## Properties
ΔE_f (raw): 0.019 eV per atom
symmetry: R-3m, No. 166

```
TbEr2Si
1.0
-3.293 0.083 1.221
-2.357 -2.339 -1.146
0.913 -7.490 8.025
Si Tb Er
1 1 2
Cartesian
-2.369 -4.873 4.050
0.000 0.000 0.000
0.021 -5.341 5.474
-4.758 -4.404 2.626
```


Below is a relaxed TbErSi crystal, with properties calculated at the PBE level.

## Properties
ΔE_f (raw): -0.527 eV per atom
symmetry: C2/m, No. 12

```
TbErSi
1.0
-2.492 0.383 3.314
0.262 -5.698 -1.756
6.183 -2.058 2.274
Tb Er Si
2 2 2
Cartesian
2.631 -4.168 -0.051
2.389 -6.589 2.663
-0.733 -0.299 2.201
5.492 -4.760 2.167
3.087 -3.300 2.803
1.672 -1.759 1.565
```


Below is a relaxed Tb3Er3Si4 crystal, with properties calculated at the PBE level.

## Properties
ΔE_f (raw): -0.716 eV per atom
symmetry: Amm2, No. 38

```
Tb3Er3Si4
1.0
4.225 0.000 0.000
0.000 7.447 -0.023
0.000 0.042 7.447
Tb Er Si
3 3 4
Cartesian
2.112 6.148 1.288
2.112 2.420 2.407
2.112 5.061 5.025
0.000 3.727 -0.010
0.000 7.466 3.697
2.112 1.347 6.131
0.000 4.604 2.845
0.000 2.865 4.599
0.000 6.629 6.549
0.000 0.883 0.853
```


Below is a relaxed TbEr4Si4 crystal, with properties calculated at the PBE level.

## Properties
ΔE_f (raw): -0.477 eV per atom
symmetry: P4_2/n, No. 86

```
TbEr4Si4
1.0
-4.992 2.252 -1.558
-3.099 -8.214 -1.941
-3.015 -0.854 8.428
Tb Er Si
2 8 8
Cartesian
0.000 0.000 0.000
-5.553 -3.408 2.464
-5.647 -2.684 6.357
-8.758 -3.653 4.521
-4.238 -4.684 -1.048
-2.922 -1.578 4.534
-7.902 -6.571 2.872
-4.415 -6.938 1.571
-6.119 -1.463 -0.769
-4.426 0.306 1.675
-6.597 -5.309 0.528
-5.725 -0.960 4.021
-5.436 -7.382 4.218
-7.836 -1.051 5.313
-7.048 -4.061 -1.563
-3.661 -2.270 0.575
-6.232 -5.094 4.733
-1.893 -1.138 1.890
```


Below is a relaxed Tb2ErSi crystal, with properties calculated at the PBE level.

## Properties
ΔE_f (raw): -0.257 eV per atom
symmetry: P4/mmm, No. 123

```
Tb2ErSi
1.0
4.627 0.000 0.000
0.000 4.627 0.000
0.000 0.000 4.627
Si Tb Er
1 2 1
Cartesian
2.313 2.313 2.313
0.000 0.000 2.313
0.000 2.313 0.000
2.313 0.000 0.000
```